Material: CaMgInGa
Method: DFT, PBE-GGA
State: optimized geometry

Results
The energy is -42.31 eV/cell. As for the energy of formation: -304 meV per atom. As for the magnetic moment: 0.00 μB per formula unit.

Cell lengths 7.2439, 7.2439, 7.2439 Å; angles 90.00, 90.00, 90.00 degrees
Space group F-43m (No. 216)
Unique sites:
Ca: 0.0000 0.0000 0.0000 [4 per cell]
Mg: 0.0000 0.0000 0.5000 [4 per cell]
In: 0.2500 0.2500 0.7500 [4 per cell]
Ga: 0.2500 0.2500 0.2500 [4 per cell]